No. 1
# RbTcAg2

A relaxed structure of RbTcAg2 (PBE-GGA, the Alexandria database).

Unit cell a=5.154 b=5.154 c=5.154 alpha=60.00 beta=60.00 gamma=60.00
Each line ends with the local moment (μB).
Fractional coordinates of all 4 atoms:
Ag 0.250 0.250 0.250  0.02
Rb 0.000 0.000 0.000  0.01
Ag 0.750 0.750 0.750  0.02
Tc 0.500 0.500 0.500  2.82

Calculated values
Energy relative to the lowest polymorph listed for this composition (eV per atom): 0.088
E_form (eV per atom): 1.16
Crystal system: cubic


No. 2
# DyZrAlOs

A relaxed structure of DyZrAlOs (PBE-GGA, the Alexandria database).

Unit cell a=4.825 b=4.825 c=4.825 alpha=60.00 beta=60.00 gamma=60.00
Fractional coordinates of all 4 atoms:
Dy 0.000 0.000 0.000
Zr 0.500 0.500 0.500
Al 0.750 0.750 0.750
Os 0.250 0.250 0.250

Calculated values
E_form (eV per atom): -0.29
Crystal system: cubic


No. 3
# PmTcGe2Pt

A relaxed structure of PmTcGe2Pt (PBE-GGA, the Alexandria database).

Unit cell a=4.260 b=4.260 c=6.004 alpha=110.78 beta=110.78 gamma=90.00
Fractional coordinates of all 5 atoms:
Ge 0.624 0.624 0.248
Pt 0.250 0.750 0.500
Pm 0.000 0.000 0.000
Ge 0.376 0.376 0.752
Tc 0.750 0.250 0.500

Calculated values
E_form (eV per atom): -0.70
Crystal system: tetragonal


No. 4
# ZrHCl2

A relaxed structure of ZrHCl2 (PBE-GGA, the Alexandria database).

Unit cell a=7.355 b=7.355 c=7.355 alpha=26.67 beta=26.67 gamma=26.67
Fractional coordinates of all 4 atoms:
H 0.000 0.000 0.000
Cl 0.081 0.081 0.081
Zr 0.500 0.500 0.500
Cl 0.919 0.919 0.919

Calculated values
Crystal system: trigonal


| no. | M_tot (μB per atom) | energy (eV/atom) | volume (Å³ per atom) |
| --- | --- | --- | --- |
| 1 | 0.824 | -3.103 | 24.20 |
| 2 | 0.000 | -7.318 | 19.86 |
| 3 | 0.000 | -6.779 | 18.85 |
| 4 | 0.000 | -4.427 | 17.67 |